# SrCd10Pt2

A geometry-optimized SrCd10Pt2 structure (PBE, Alexandria via LeMat-Bulk).

abc: 5.6988 7.5713 7.7629
angles: 82.06 68.47 67.89
Atoms (fractional coordinates):
Sr1 0.0000 0.0000 0.0000
Cd1 0.3475 0.6349 0.6701
Cd2 0.6525 0.3651 0.3299
Cd3 0.9824 0.3651 0.6701
Cd4 0.0176 0.6349 0.3299
Cd5 0.0000 0.0000 0.5000
Cd6 0.5000 0.0000 0.5000
Cd7 0.2861 0.2210 0.2068
Cd8 0.7139 0.7790 0.7932
Cd9 0.5071 0.7790 0.2068
Cd10 0.4929 0.2210 0.7932
Pt1 0.0000 0.5000 0.0000
Pt2 0.5000 0.5000 0.0000

Space group: Fmmm
Raw total energy in eV per atom: -1.9922
ΔE_f in eV/atom: -0.229


# NbSnN2

A geometry-optimized NbSnN2 structure (PBE, Alexandria via LeMat-Bulk).

abc: 5.4618 5.4618 6.1394
angles: 63.59 63.59 90.00
Atoms (fractional coordinates):
Nb1 0.5000 0.5000 0.0000
Nb2 0.2500 0.7500 0.5000
Sn1 0.0000 0.0000 0.0000
Sn2 0.7500 0.2500 0.5000
N1 0.5176 0.1250 0.2500
N2 0.2324 0.6250 0.2500
N3 0.3750 0.4824 0.7500
N4 0.8750 0.7676 0.7500

Formation energy (no corrections) in eV/f.u.: -0.68
Space group: I-42d
Raw total energy in eV per atom: -7.8519


# LiCdCl

A geometry-optimized LiCdCl structure (PBE, Alexandria via LeMat-Bulk).

abc: 7.5836 7.5839 3.4049
angles: 77.02 77.03 25.95
Atoms (fractional coordinates):
Cd1 0.9956 0.9956 0.0044
Cl1 0.2490 0.2490 0.7510
Li1 0.7553 0.7553 0.2447

Formation energy (no corrections) in eV/f.u.: -2.87
Excess energy over the best structure of this formula in the dataset in eV per atom: 0.001
Space group: I4mm
Raw total energy in eV per atom: -2.5146


# Y2ZrW

A geometry-optimized Y2ZrW structure (PBE, Alexandria via LeMat-Bulk).

abc: 5.1400 5.1400 5.1400
angles: 121.33 121.33 87.72
Atoms (fractional coordinates):
W1 0.7500 0.2500 0.5000
Y1 0.0000 0.0000 0.0000
Y2 0.2500 0.7500 0.5000
Zr1 0.5000 0.5000 0.0000

Excess energy over the best structure of this formula in the dataset in eV per atom: 0.199
Space group: I-4m2
Raw total energy in eV per atom: -8.1788
ΔE_f in eV/atom: 0.429


# Al8CrIr2

A geometry-optimized Al8CrIr2 structure (PBE, Alexandria via LeMat-Bulk).

abc: 4.0547 7.4741 6.9099
angles: 122.74 107.06 90.00
Atoms (fractional coordinates):
Al1 0.6576 0.8791 0.3152
Al2 0.3424 0.5639 0.6848
Al3 0.1433 0.1433 0.2865
Al4 0.0000 0.3134 0.0000
Al5 0.8567 0.8567 0.7135
Al6 0.6576 0.4361 0.3152
Al7 0.3424 0.1209 0.6848
Al8 0.0000 0.6866 0.0000
Cr1 0.5000 0.0000 0.0000
Ir1 0.2021 0.7021 0.4043
Ir2 0.7979 0.2979 0.5957

Space group: Immm
Raw total energy in eV per atom: -5.7331
ΔE_f in eV/atom: -0.525


# Tm12InNi5

A geometry-optimized Tm12InNi5 structure (PBE, Alexandria via LeMat-Bulk).

abc: 8.1922 8.1922 8.1922
angles: 106.79 111.42 110.24
Atoms (fractional coordinates):
Tm1 0.5271 0.8174 0.7097
Tm2 0.4729 0.1826 0.2903
Tm3 0.8924 0.1826 0.7097
Tm4 0.1076 0.8174 0.2903
Tm5 0.6954 0.6777 0.3731
Tm6 0.3046 0.3223 0.6269
Tm7 0.3046 0.6777 0.9823
Tm8 0.6954 0.3223 0.0177
Tm9 0.8088 0.5923 0.7836
Tm10 0.1912 0.4077 0.2164
Tm11 0.1912 0.9748 0.7836
Tm12 0.8088 0.0252 0.2164
In1 0.0000 0.5000 0.5000
Ni1 0.6380 0.6380 0.0000
Ni2 0.3620 0.3620 0.0000
Ni3 0.5000 0.1230 0.6230
Ni4 0.5000 0.8770 0.3770
Ni5 0.0000 0.0000 0.0000

Space group: Immm
Raw total energy in eV per atom: -5.1143
ΔE_f in eV/atom: -0.375


# Li8UO6

A geometry-optimized Li8UO6 structure (PBE, Alexandria via LeMat-Bulk).

abc: 5.8468 5.8468 10.9328
angles: 90.00 90.00 120.00
Atoms (fractional coordinates):
Li1 0.6810 0.6810 0.2679
Li2 0.5713 0.5713 0.6253
Li3 0.4287 0.4287 0.1253
Li4 0.3190 0.3190 0.7679
Li5 0.6667 0.3333 0.9028
Li6 0.6667 0.3333 0.4028
Li7 0.3190 0.0000 0.2679
Li8 0.4287 0.0000 0.6253
Li9 0.5713 0.0000 0.1253
Li10 0.0000 0.6810 0.7679
Li11 0.6810 0.0000 0.7679
Li12 0.0000 0.5713 0.1253
Li13 0.3333 0.6667 0.4028
Li14 0.3333 0.6667 0.9028
Li15 0.0000 0.4287 0.6253
Li16 0.0000 0.3190 0.2679
U1 0.0000 0.0000 0.4944
U2 0.0000 0.0000 0.9944
O1 0.6526 0.6526 0.4497
O2 0.3474 0.3474 0.9497
O3 0.6667 0.3333 0.7129
O4 0.0000 0.0000 0.6914
O5 0.0000 0.0000 0.1914
O6 0.6667 0.3333 0.2129
O7 0.3474 0.0000 0.4497
O8 0.0000 0.6526 0.9497
O9 0.6526 0.0000 0.9497
O10 0.3333 0.6667 0.2129
O11 0.3333 0.6667 0.7129
O12 0.0000 0.3474 0.4497

Formation energy (no corrections) in eV/f.u.: -30.24
Space group: P6_3cm
Raw total energy in eV per atom: -5.7723


# La6Cd5Au

A geometry-optimized La6Cd5Au structure (PBE, Alexandria via LeMat-Bulk).

abc: 5.5108 7.8346 9.5771
angles: 65.86 73.14 90.00
Atoms (fractional coordinates):
Cd1 0.6802 0.1805 0.6391
Cd2 0.3332 0.3323 0.3355
Cd3 0.0000 0.5000 0.0000
Cd4 0.6668 0.6677 0.6645
Cd5 0.3198 0.8195 0.3609
Au1 0.0000 0.0000 0.0000
La1 0.8399 0.5986 0.3211
La2 0.8399 0.0803 0.3211
La3 0.5000 0.7643 0.0000
La4 0.5000 0.2357 0.0000
La5 0.1601 0.9197 0.6789
La6 0.1601 0.4014 0.6789

Space group: C2/m
Raw total energy in eV per atom: -3.5195
ΔE_f in eV/atom: -0.401


# NdThMgSc

A geometry-optimized NdThMgSc structure (PBE, Alexandria via LeMat-Bulk).

abc: 3.5953 3.5953 8.8397
angles: 90.00 90.00 90.00
Atoms (fractional coordinates):
Nd1 0.0000 0.0000 0.0800
Th1 0.5000 0.5000 0.8024
Mg1 0.5000 0.5000 0.3455
Sc1 0.0000 0.0000 0.5568

Excess energy over the best structure of this formula in the dataset in eV per atom: 0.000
Space group: P4mm
Raw total energy in eV per atom: -5.0517
ΔE_f in eV/atom: -0.023


# PmPr2Tm7

A geometry-optimized PmPr2Tm7 structure (PBE, Alexandria via LeMat-Bulk).

abc: 3.5087 14.7492 14.7493
angles: 154.69 90.00 90.00
Atoms (fractional coordinates):
Pm1 0.0000 0.0000 0.0000
Pr1 0.5000 0.7084 0.2916
Pr2 0.5000 0.2916 0.7084
Tm1 0.0000 0.8163 0.1836
Tm2 0.0000 0.1837 0.8164
Tm3 0.5000 0.1484 0.3452
Tm4 0.5000 0.8516 0.6548
Tm5 0.5000 0.3452 0.1484
Tm6 0.5000 0.6548 0.8516
Tm7 0.5000 0.5000 0.5000

Excess energy over the best structure of this formula in the dataset in eV per atom: 0.140
Space group: Cmmm
Raw total energy in eV per atom: -4.3963
ΔE_f in eV/atom: 0.165


# TlOsW2

A geometry-optimized TlOsW2 structure (PBE, Alexandria via LeMat-Bulk).

abc: 4.9766 4.9766 4.9766
angles: 131.58 131.58 70.89
Atoms (fractional coordinates):
Os1 0.5000 0.5000 0.0000
Tl1 0.7500 0.2500 0.5000
W1 0.0000 0.0000 0.0000
W2 0.2500 0.7500 0.5000

Excess energy over the best structure of this formula in the dataset in eV per atom: 0.284
Space group: I-4m2
Raw total energy in eV per atom: -9.0492
ΔE_f in eV/atom: 0.826


# Zr2AgSb

A geometry-optimized Zr2AgSb structure (PBE, Alexandria via LeMat-Bulk).

abc: 3.2986 3.2986 8.1132
angles: 90.00 90.00 100.46
Atoms (fractional coordinates):
Ag1 0.5000 0.5000 0.2500
Sb1 0.5000 0.5000 0.7500
Zr1 0.0000 0.0000 0.9992
Zr2 0.0000 0.0000 0.5008

Formation energy (no corrections) in eV/f.u.: -0.73
Space group: Cmmm
Raw total energy in eV per atom: -6.2002


# Zr2InNi2

A geometry-optimized Zr2InNi2 structure (PBE, Alexandria via LeMat-Bulk).

abc: 7.7447 7.7447 3.1077
angles: 90.00 90.00 90.00
Atoms (fractional coordinates):
Ni1 0.1281 0.6281 0.5000
Ni2 0.6281 0.8719 0.5000
Ni3 0.8719 0.3719 0.5000
Ni4 0.3719 0.1281 0.5000
Zr1 0.3444 0.8444 0.0000
Zr2 0.8444 0.6556 0.0000
Zr3 0.6556 0.1556 0.0000
Zr4 0.1556 0.3444 0.0000
In1 0.0000 0.0000 0.0000
In2 0.5000 0.5000 0.0000

Space group: P4/mbm
Raw total energy in eV per atom: -6.4142
ΔE_f in eV/atom: -0.135


# AlTeAs2Se

A geometry-optimized AlTeAs2Se structure (PBE, Alexandria via LeMat-Bulk).

abc: 4.9695 4.7676 4.9695
angles: 90.00 90.00 90.00
Atoms (fractional coordinates):
As1 0.0000 0.0000 0.5000
As2 0.5000 0.0000 0.0000
Te1 0.5000 0.5000 0.5000
Al1 0.0000 0.0000 0.0000
Se1 0.0000 0.5000 0.0000

Formation energy (no corrections) in eV/f.u.: 1.87
Excess energy over the best structure of this formula in the dataset in eV per atom: 0.000
Space group: P4/mmm
Raw total energy in eV per atom: -3.5604


# SiTcI2

A geometry-optimized SiTcI2 structure (PBE, Alexandria via LeMat-Bulk).

abc: 9.9451 9.9451 7.4126
angles: 47.87 47.87 90.00
Atoms (fractional coordinates):
I1 0.7733 0.1250 0.2500
I2 0.9767 0.6250 0.2500
I3 0.3750 0.2267 0.7500
I4 0.8750 0.0233 0.7500
Si1 0.5000 0.5000 0.0000
Si2 0.2500 0.7500 0.5000
Tc1 0.0000 0.0000 0.0000
Tc2 0.7500 0.2500 0.5000

Formation energy (no corrections) in eV/f.u.: 1.42
Excess energy over the best structure of this formula in the dataset in eV per atom: 0.000
Space group: I-42d
Raw total energy in eV per atom: -4.3674


# AcHoCdAg

A geometry-optimized AcHoCdAg structure (PBE, Alexandria via LeMat-Bulk).

abc: 5.4617 5.4617 5.4617
angles: 60.00 60.00 60.00
Atoms (fractional coordinates):
Ac1 0.0000 0.0000 0.0000
Ho1 0.5000 0.5000 0.5000
Ag1 0.7500 0.7500 0.7500
Cd1 0.2500 0.2500 0.2500

Excess energy over the best structure of this formula in the dataset in eV per atom: 0.041
Space group: F-43m
Raw total energy in eV per atom: -3.3529
ΔE_f in eV/atom: -0.240


# YWSe2

A geometry-optimized YWSe2 structure (PBE, Alexandria via LeMat-Bulk).

abc: 4.8558 4.8558 4.8558
angles: 60.00 60.00 60.00
Atoms (fractional coordinates):
Se1 0.0000 0.0000 0.0000
Se2 0.2500 0.2500 0.2500
W1 0.5000 0.5000 0.5000
Y1 0.7500 0.7500 0.7500

Formation energy (no corrections) in eV/f.u.: 1.90
Excess energy over the best structure of this formula in the dataset in eV per atom: 1.014
Space group: F-43m
Raw total energy in eV per atom: -6.1217


# KAsIO2

A geometry-optimized KAsIO2 structure (PBE, Alexandria via LeMat-Bulk).

abc: 5.2288 6.0649 8.5995
angles: 110.65 90.00 90.00
Atoms (fractional coordinates):
K1 0.2500 0.6052 0.2103
K2 0.7500 0.3948 0.7897
As1 0.2500 0.9593 0.9187
As2 0.7500 0.0407 0.0813
I1 0.7500 0.7591 0.5183
I2 0.2500 0.2409 0.4817
O1 0.5000 0.1974 0.0000
O2 0.0000 0.8026 0.0000
O3 0.5000 0.8026 0.0000
O4 0.0000 0.1974 0.0000

Formation energy (no corrections) in eV/f.u.: -5.51
Excess energy over the best structure of this formula in the dataset in eV per atom: 0.000
Space group: Cmcm
Raw total energy in eV per atom: -4.5457


# KNa5P2

A geometry-optimized KNa5P2 structure (PBE, Alexandria via LeMat-Bulk).

abc: 4.8482 7.4734 7.4734
angles: 72.40 71.07 71.07
Atoms (fractional coordinates):
K1 0.0000 0.0000 0.0000
Na1 0.0000 0.5000 0.5000
Na2 0.6950 0.4818 0.1282
Na3 0.3050 0.5182 0.8718
Na4 0.3050 0.8718 0.5182
Na5 0.6950 0.1282 0.4818
P1 0.7491 0.7509 0.7509
P2 0.2509 0.2491 0.2491

Space group: Immm
Raw total energy in eV per atom: -2.5955
ΔE_f in eV/atom: -0.281


# FeRe2H

A geometry-optimized FeRe2H structure (PBE, Alexandria via LeMat-Bulk).

abc: 2.7754 2.7754 7.5012
angles: 79.34 79.34 60.00
Atoms (fractional coordinates):
Re1 0.1157 0.1157 0.6528
Re2 0.8843 0.8843 0.3472
Fe1 0.0000 0.0000 0.0000
H1 0.5000 0.5000 0.5000

Excess energy over the best structure of this formula in the dataset in eV per atom: 0.207
Space group: R-3m
Raw total energy in eV per atom: -8.5482


# BaMn2V2

A geometry-optimized BaMn2V2 structure (PBE, Alexandria via LeMat-Bulk).

abc: 7.9501 7.9501 2.9814
angles: 90.00 90.00 90.00
Atoms (fractional coordinates):
Mn1 0.1272 0.6272 0.5000
Mn2 0.6272 0.8728 0.5000
Mn3 0.8728 0.3728 0.5000
Mn4 0.3728 0.1272 0.5000
Ba1 0.0000 0.0000 0.0000
Ba2 0.5000 0.5000 0.0000
V1 0.3697 0.8697 0.0000
V2 0.8697 0.6303 0.0000
V3 0.6303 0.1303 0.0000
V4 0.1303 0.3697 0.0000

Excess energy over the best structure of this formula in the dataset in eV per atom: 0.000
Space group: P4/mbm
Raw total energy in eV per atom: -7.1374
ΔE_f in eV/atom: 0.562


# NaCa3Rh

A geometry-optimized NaCa3Rh structure (PBE, Alexandria via LeMat-Bulk).

abc: 21.9412 10.2150 10.2150
angles: 158.02 154.59 25.41
Atoms (fractional coordinates):
Na1 0.8445 0.9400 0.0600
Na2 0.1555 0.0600 0.9400
Ca1 0.3142 0.7204 0.2796
Ca2 0.6858 0.2796 0.7204
Ca3 0.0923 0.3182 0.6818
Ca4 0.9077 0.6818 0.3182
Ca5 0.5822 0.5826 0.4174
Ca6 0.4178 0.4174 0.5826
Rh1 0.5838 0.9780 0.0220
Rh2 0.4162 0.0220 0.9780

Excess energy over the best structure of this formula in the dataset in eV per atom: 0.032
Space group: C2/m
Raw total energy in eV per atom: -3.1064
ΔE_f in eV/atom: -0.171


# CrPb

A geometry-optimized CrPb structure (PBE, Alexandria via LeMat-Bulk).

abc: 3.4336 3.4336 4.4681
angles: 90.00 90.00 120.00
Atoms (fractional coordinates):
Cr1 0.0000 0.0000 0.0000
Pb1 0.6667 0.3333 0.5000

Space group: P-6m2
Raw total energy in eV per atom: -5.9992
ΔE_f in eV/atom: 0.667


# ZnFeTc2

A geometry-optimized ZnFeTc2 structure (PBE, Alexandria via LeMat-Bulk).

abc: 2.6936 2.6936 8.8474
angles: 81.24 81.24 60.00
Atoms (fractional coordinates):
Zn1 0.5001 0.5001 0.4996
Fe1 0.6664 0.6664 0.0007
Tc1 0.0789 0.0789 0.7633
Tc2 0.2545 0.2545 0.2364

Space group: R3m
Raw total energy in eV per atom: -7.5041
ΔE_f in eV/atom: 0.113